Crystalline ScSi2Tc2 at its relaxed geometry. Source: OQMD via LeMat-Bulk, functional PBE.

Results
As for the space group: No. 139. Its energy above the most stable polymorph in this dataset is 52 meV/atom.

Lattice parameters (Å, degrees): 5.8001 5.8001 5.8001 139.42 139.42 58.74
Element x y z (fractional)
Si 0.6168 0.6168 0.0000
Si 0.3832 0.3832 0.0000
Tc 0.2500 0.7500 0.5000
Tc 0.7500 0.2500 0.5000
Sc 0.0000 0.0000 0.0000

Crystalline PaZn at its relaxed geometry. Source: OQMD via LeMat-Bulk, functional PBE.

Results
As for the space group: No. 57. The calculation puts the formation energy at 8.1 kJ per mole of atoms.

Lattice parameters (Å, degrees): 5.1004 6.3408 5.0148 90.00 90.00 90.00
Element x y z (fractional)
Pa 0.5163 0.7453 0.0000
Pa 0.8170 0.7453 0.5000
Pa 0.3170 0.5047 0.5000
Pa 0.0163 0.5047 0.0000
Zn 0.8115 0.2300 0.5000
Zn 0.0218 0.0200 0.0000
Zn 0.5218 0.2300 0.0000
Zn 0.3115 0.0200 0.5000

Crystalline ErTlZnSe3 at its relaxed geometry. Source: OQMD via LeMat-Bulk, functional PBE.

Results
As for the space group: No. 12. As for the total DFT energy (no corrections): -4.096 eV/atom.

Lattice parameters (Å, degrees): 8.9077 8.9077 9.1217 103.30 103.30 27.04
Element x y z (fractional)
Zn 0.4892 0.4892 0.7823
Zn 0.5108 0.5108 0.2177
Tl 0.1407 0.1407 0.5680
Tl 0.8593 0.8593 0.4320
Se 0.6610 0.6610 0.8669
Se 0.0000 0.0000 0.0000
Se 0.3390 0.3390 0.1331
Se 0.6598 0.6598 0.2890
Se 0.5000 0.5000 0.5000
Se 0.3402 0.3402 0.7110
Er 0.8285 0.8285 0.9132
Er 0.1715 0.1715 0.0868